Record 1
This record from Alexandria via LeMat-Bulk describes a relaxed YTlPb2Br8 crystal. The functional is GGA-PBE.

Cell lengths 7.254, 6.873, 9.246 Å; angles 89.95, 90.00, 89.11 degrees
Sites, in units of the cell vectors:
1 Br 0.846 0.240 0.217
2 Br 0.153 0.760 0.217
3 Br 0.632 0.732 0.500
4 Br 0.368 0.268 0.500
5 Br 0.679 0.763 0.000
6 Br 0.154 0.760 0.783
7 Br 0.321 0.237 0.000
8 Br 0.847 0.240 0.783
9 Pb 0.500 0.500 0.750
10 Pb 0.500 0.500 0.250
11 Tl 0.000 0.000 0.500
12 Y 0.000 0.000 0.000

Results
electronic total energy: -3.68 eV per atom
space-group type: P-1
Fermi-level density of states: 0.00 states/eV/f.u.
raw formation energy: -1.207 eV/atom
size of the total moment: 0.000 μB per cell

Record 2
This record from Alexandria via LeMat-Bulk describes a relaxed Tl2ZnPbBr crystal. The functional is GGA-PBE.

Cell lengths 6.100, 5.796, 6.100 Å; angles 90.00, 90.00, 90.00 degrees
Sites, in units of the cell vectors:
1 Tl 0.000 0.000 0.500
2 Tl 0.500 0.000 0.000
3 Br 0.000 0.000 0.000
4 Pb 0.000 0.500 0.000
5 Zn 0.500 0.500 0.500

Results
electronic total energy: -1.95 eV per atom
energy above the lowest structure with this stoichiometry: 6.18 kJ/mol of atoms
space-group type: P4/mmm
Fermi-level density of states: 4.91 states/eV/f.u.
raw formation energy: 0.328 eV/atom
size of the total moment: 0.000 μB per cell